(1)
Density functional theory data (PBE) for KRb6AuO after structural relaxation.

## Properties
**Formation energy from raw total energies**: -0.3574 eV per atom
**Total moment**: 0.000 μB per cell
**VASP energy**: -2.039 eV/atom
**Space-group type**: C2
**Calculated volume**: 63.12 Å³ per atom

abc: 8.721 8.721 8.631
angles: 90.03 90.03 120.07
Element x y z (fractional)
K1 0.000 0.000 0.000
Rb1 0.055 0.422 0.309
Rb2 0.056 0.634 0.691
Rb3 0.366 0.423 0.691
Rb4 0.366 0.944 0.309
Rb5 0.577 0.634 0.309
Rb6 0.578 0.945 0.691
Au1 0.666 0.334 0.500
O1 0.333 0.667 0.500

***

(2)
Density functional theory data (PBE) for K4RbAuO after structural relaxation.

## Properties
**Formation energy from raw total energies**: -0.5072 eV per atom
**Total moment**: 0.000 μB per cell
**VASP energy**: -2.449 eV/atom
**Space-group type**: C2/m
**Calculated volume**: 48.66 Å³ per atom

abc: 9.284 9.284 9.211
angles: 108.97 108.97 69.03
Element x y z (fractional)
K1 0.048 0.414 0.701
K2 0.055 0.055 0.381
K3 0.151 0.151 0.982
K4 0.414 0.048 0.701
K5 0.586 0.952 0.299
K6 0.849 0.849 0.018
K7 0.945 0.945 0.619
K8 0.952 0.586 0.299
Rb1 0.478 0.478 0.247
Rb2 0.522 0.522 0.753
Au1 0.298 0.298 0.413
Au2 0.702 0.702 0.587
O1 0.126 0.126 0.695
O2 0.874 0.874 0.305

***

(3)
Density functional theory data (PBE) for KAuS2O after structural relaxation.

## Properties
**Formation energy from raw total energies**: 1.4394 eV per atom
**Total moment**: 0.001 μB per cell
**VASP energy**: -2.078 eV/atom
**Space-group type**: P4/mmm
**Calculated volume**: 24.73 Å³ per atom

abc: 5.503 5.503 4.083
angles: 90.00 90.00 90.00
Element x y z (fractional)
K1 0.000 0.000 0.000
Au1 0.500 0.500 0.500
S1 0.000 0.500 0.000
S2 0.500 0.000 0.000
O1 0.000 0.000 0.500